# 1
Computed, not measured: LiZn2GaPt at its PBEsol-relaxed geometry at the meta-GGA SCAN level of DFT.

Cell: 4.211 4.211 4.260 Å, 90.00 90.00 90.00°
Space group P4/mmm (No. 123)
Symmetry-distinct sites (fractional):
Li  0.000  0.000  0.000 [1 per cell]
Zn  0.000  0.500  0.000 [2 per cell]
Ga  0.000  0.000  0.500 [1 per cell]
Pt  0.500  0.500  0.500 [1 per cell]

total magnetic moment: 0.0 μB/f.u.
final energy: -22.6636 eV per atom

---

# 2
Computed, not measured: NiRuPt2 at its PBEsol-relaxed geometry at the meta-GGA SCAN level of DFT.

Cell: 2.6992 2.6992 25.7690 Å, 90.00 90.00 120.00°
Space group R-3m (No. 166, hexagonal axes)
Symmetry-distinct sites (fractional):
Ni  0.0000  0.0000  0.0000 [3 per cell]
Ru  0.0000  0.0000  0.5000 [3 per cell]
Pt  0.0000  0.0000  0.2524 [6 per cell]

total magnetic moment: 1.6 μB/f.u.
final energy: -47.8744 eV per atom

---

# 3
Computed, not measured: FeSb2TeSe at its PBEsol-relaxed geometry at the meta-GGA SCAN level of DFT.

Cell: 5.243 5.243 5.408 Å, 90.00 90.00 90.00°
Space group P4/mmm (No. 123)
Symmetry-distinct sites (fractional):
Fe  0.000  0.000  0.000 [1 per cell]
Sb  0.000  0.500  0.500 [2 per cell]
Te  0.500  0.500  0.000 [1 per cell]
Se  0.500  0.500  0.500 [1 per cell]

total magnetic moment: 3.5 μB/f.u.
uncorrected formation energy: 5.664 eV/f.u.

---

# 4
Computed, not measured: ZnAsO3 at its PBEsol-relaxed geometry at the meta-GGA SCAN level of DFT.

Cell: 3.766 3.766 3.766 Å, 90.00 90.00 90.00°
Space group Pm-3m (No. 221)
Symmetry-distinct sites (fractional):
Zn  0.000  0.000  0.000 [1 per cell]
As  0.500  0.500  0.500 [1 per cell]
O  0.000  0.000  0.500 [3 per cell]

total magnetic moment: 0.0 μB/f.u.
uncorrected formation energy: -1.121 eV/f.u.